(1)
The following is a DFT calculation (PBE-GGA) of a relaxed structure of BaSr2Br.

abc: 7.7418 12.0716 4.2150
angles: 90.00 90.00 90.00
With the nearest neighbours (Å) after each atom.
Element x y z (fractional)
Ba1 0.0000 0.0000 0.0000  2 Br 3.87, 8 Sr 4.16, 2 Ba 4.22
Ba2 0.5000 0.5000 0.0000  2 Br 3.87, 8 Sr 4.16, 2 Ba 4.22
Sr1 0.2500 0.2500 0.5000  4 Sr 3.87-4.22, 4 Ba 4.16, 4 Br 4.16
Sr2 0.2500 0.7500 0.5000  4 Sr 3.87-4.22, 4 Ba 4.16, 4 Br 4.16
Sr3 0.7500 0.2500 0.5000  4 Sr 3.87-4.22, 4 Ba 4.16, 4 Br 4.16
Sr4 0.7500 0.7500 0.5000  4 Sr 3.87-4.22, 4 Br 4.16, 4 Ba 4.16
Br1 0.0000 0.5000 0.0000  2 Ba 3.87, 8 Sr 4.16, 2 Br 4.22
Br2 0.5000 0.0000 0.0000  2 Ba 3.87, 8 Sr 4.16, 2 Br 4.22

N(E_F) = 2.51 states/eV/f.u.
calculated volume = 197 Å³/f.u.
space-group type = No. 65
E_form (uncorrected) = -0.428 eV per atom


(2)
The following is a DFT calculation (PBE-GGA) of a relaxed structure of BaLi2Ag.

abc: 4.8953 5.0528 5.0950
angles: 90.00 99.83 90.00
With the nearest neighbours (Å) after each atom.
Element x y z (fractional)
Ba1 0.0000 0.0000 0.0000  2 Ag 3.22, 4 Li 3.57
Li1 0.3368 0.5000 0.6749  1 Li 2.59, 2 Ag 2.84
Li2 0.6632 0.5000 0.3251  1 Li 2.59, 2 Ag 2.84
Ag1 0.5000 0.0000 0.5000  4 Li 2.84

N(E_F) = 2.68 states/eV/f.u.
ΔH_f (0 K) = -0.03 eV per atom
calculated volume = 124 Å³/f.u.
space-group type = No. 10


(3)
The following is a DFT calculation (PBE-GGA) of a relaxed structure of Zr2VC.

abc: 3.2675 3.2675 21.7508
angles: 90.00 90.00 120.00
With the nearest neighbours (Å) after each atom.
Element x y z (fractional)
Zr1 0.0000 0.0000 0.2280  3 C 2.31
Zr2 0.0000 0.0000 0.7720  3 C 2.31
Zr3 0.3333 0.6667 0.4386  3 C 2.31
Zr4 0.3333 0.6667 0.8947  3 C 2.31
Zr5 0.6667 0.3333 0.1053  3 C 2.31
Zr6 0.6667 0.3333 0.5614  3 C 2.31
V1 0.0000 0.0000 0.0000  6 Zr 2.97, 6 V 3.27
V2 0.3333 0.6667 0.6667  6 Zr 2.97, 6 V 3.27
V3 0.6667 0.3333 0.3333  6 Zr 2.97, 6 V 3.27
C1 0.0000 0.0000 0.5000  6 Zr 2.31
C2 0.3333 0.6667 0.1667  6 Zr 2.31
C3 0.6667 0.3333 0.8333  6 Zr 2.31

N(E_F) = 4.18 states/eV/f.u.
ΔH_f (0 K) = -0.14 eV per atom
calculated volume = 67 Å³/f.u.
space-group type = No. 166